No. 1
VASP calculation (PBE) on Ba2SbO4 after structural relaxation.

Computed properties:
Formation energy from raw total energies = -2035 meV per atom
Space group = P2_1/m, No. 11
Offset from the most stable computed form = 130 meV per atom

a = 6.6149 Å, b = 6.2357 Å, c = 7.8847 Å
α = 90.00°, β = 116.65°, γ = 90.00°
Sites, in units of the cell vectors:
O (0.8019, 0.2500, 0.0942)
O (0.0273, 0.7500, 0.3261)
O (0.9727, 0.2500, 0.6739)
O (0.5882, 0.0167, 0.7273)
O (0.1981, 0.7500, 0.9058)
O (0.4118, 0.5167, 0.2727)
O (0.5882, 0.4833, 0.7273)
O (0.4118, 0.9833, 0.2727)
Sb (0.1942, 0.7500, 0.1627)
Sb (0.8058, 0.2500, 0.8373)
Ba (0.7918, 0.7500, 0.5594)
Ba (0.2082, 0.2500, 0.4406)
Ba (0.6283, 0.7500, 0.9951)
Ba (0.3717, 0.2500, 0.0049)

---

No. 2
VASP calculation (PBE) on La4Nd3SmS8 after structural relaxation.

Computed properties:
Formation energy from raw total energies = -2099 meV per atom
Space group = R-3m, No. 166

a = 8.2136 Å, b = 8.2081 Å, c = 8.2137 Å
α = 120.02°, β = 120.00°, γ = 90.00°
Sites, in units of the cell vectors:
Nd (0.5000, 0.5000, 0.5000)
Nd (0.5000, 0.5000, 0.0000)
Nd (0.0000, 0.5000, 0.5000)
S (0.7484, 0.7451, 0.4967)
S (0.7536, 0.2568, 0.0032)
S (0.2464, 0.7432, 0.9968)
S (0.7536, 0.2569, 0.5072)
S (0.2496, 0.2568, 0.0032)
S (0.2464, 0.7431, 0.4928)
S (0.7504, 0.7432, 0.9968)
S (0.2516, 0.2549, 0.5033)
La (0.5000, 0.0000, 0.0000)
La (0.0000, 0.0000, 0.5000)
La (0.5000, 0.0000, 0.5000)
La (0.0000, 0.0000, 0.0000)
Sm (0.0000, 0.5000, 0.0000)

---

No. 3
VASP calculation (PBE) on Y2TaOs after structural relaxation.

Computed properties:
Space group = I-4m2, No. 119
Offset from the most stable computed form = 339 meV per atom
Energy relative to the elements = 0.27 eV per atom

a = 4.8831 Å, b = 4.8831 Å, c = 4.8917 Å
α = 120.01°, β = 120.01°, γ = 89.87°
Sites, in units of the cell vectors:
Os (0.5000, 0.5000, 0.0000)
Y (0.9997, 0.0003, 0.0000)
Y (0.2502, 0.7498, 0.5000)
Ta (0.7502, 0.2498, 0.5000)

---

No. 4
VASP calculation (PBE) on LaIn3Pd2 after structural relaxation.

Computed properties:
Space group = C2/m, No. 12
Energy relative to the elements = -0.59 eV per atom

a = 4.5005 Å, b = 9.2868 Å, c = 10.9093 Å
α = 108.83°, β = 90.00°, γ = 104.02°
Sites, in units of the cell vectors:
Pd (0.7995, 0.5990, 0.8728)
Pd (0.4765, 0.9530, 0.2141)
Pd (0.5235, 0.0470, 0.7859)
Pd (0.3635, 0.7270, 0.5489)
Pd (0.6365, 0.2730, 0.4511)
Pd (0.2005, 0.4010, 0.1272)
In (0.7846, 0.5691, 0.6115)
In (0.6727, 0.3454, 0.9576)
In (0.3273, 0.6546, 0.0424)
In (0.5000, 0.0000, 0.5000)
In (0.9599, 0.9198, 0.6521)
In (0.6270, 0.2541, 0.1947)
In (0.0401, 0.0802, 0.3479)
In (0.3730, 0.7459, 0.8053)
In (0.2154, 0.4309, 0.3885)
La (0.1595, 0.3191, 0.7029)
La (0.0000, 0.0000, 0.0000)
La (0.8405, 0.6809, 0.2971)

---

No. 5
VASP calculation (PBE) on LaSn after structural relaxation.

Computed properties:
Space group = Pm-3n, No. 223
Energy relative to the elements = 0.18 eV per atom

a = 8.9473 Å, b = 8.9473 Å, c = 8.9473 Å
α = 90.00°, β = 90.00°, γ = 90.00°
Last column: magnetic moment on the atom in μB.
Sites, in units of the cell vectors:
Sn (0.0000, 0.5000, 0.2500)  0.26
Sn (0.7500, 0.0000, 0.5000)  0.26
Sn (0.5000, 0.2500, 0.0000)  0.26
Sn (0.5000, 0.7500, 0.0000)  0.26
Sn (0.2500, 0.0000, 0.5000)  0.26
Sn (0.0000, 0.5000, 0.7500)  0.26
La (0.5000, 0.0000, 0.7500)  0.16
La (0.7500, 0.5000, 0.0000)  0.16
La (0.0000, 0.7500, 0.5000)  0.16
La (0.5000, 0.0000, 0.2500)  0.16
La (0.0000, 0.2500, 0.5000)  0.16
La (0.2500, 0.5000, 0.0000)  0.16

---

No. 6
VASP calculation (PBE) on LiLaNi2 after structural relaxation.

Computed properties:
Space group = P4mm, No. 99
Offset from the most stable computed form = 231 meV per atom
Energy relative to the elements = 0.08 eV per atom

a = 3.5125 Å, b = 3.5125 Å, c = 5.6626 Å
α = 90.00°, β = 90.00°, γ = 90.00°
Sites, in units of the cell vectors:
La (0.0000, 0.0000, 0.4585)
Ni (0.5000, 0.5000, 0.2241)
Ni (0.0000, 0.0000, 0.9988)
Li (0.5000, 0.5000, 0.8186)

---

No. 7
VASP calculation (PBE) on Ta2SbP after structural relaxation.

Computed properties:
Formation energy from raw total energies = 268 meV per atom
Space group = I-4m2, No. 119

a = 5.1652 Å, b = 5.1652 Å, c = 5.1652 Å
α = 133.02°, β = 133.02°, γ = 68.62°
Sites, in units of the cell vectors:
P (0.5000, 0.5000, 0.0000)
Ta (0.0000, 0.0000, 0.0000)
Ta (0.2500, 0.7500, 0.5000)
Sb (0.7500, 0.2500, 0.5000)

---

No. 8
VASP calculation (PBE) on La6Y2Cd after structural relaxation.

Computed properties:
Space group = P-1, No. 2
Energy relative to the elements = -0.05 eV per atom

a = 6.2815 Å, b = 12.8502 Å, c = 11.1463 Å
α = 43.75°, β = 90.25°, γ = 85.17°
Sites, in units of the cell vectors:
La (0.6422, 0.6649, 0.7008)
La (0.2390, 0.0196, 0.7305)
La (0.1755, 0.6509, 0.5245)
La (0.3616, 0.3314, 0.9791)
La (0.6384, 0.6686, 0.0209)
La (0.8167, 0.3410, 0.7907)
La (0.1833, 0.6590, 0.2093)
La (0.8245, 0.3491, 0.4755)
La (0.2506, 0.0222, 0.0612)
La (0.7494, 0.9778, 0.9388)
La (0.7610, 0.9804, 0.2695)
La (0.3578, 0.3351, 0.2992)
Y (0.2554, 0.9975, 0.4204)
Y (0.8652, 0.3272, 0.1466)
Y (0.7446, 0.0025, 0.5796)
Y (0.1348, 0.6728, 0.8534)
Cd (0.6547, 0.6741, 0.3579)
Cd (0.3453, 0.3259, 0.6421)

---

No. 9
VASP calculation (PBE) on CuTeP2C after structural relaxation.

Computed properties:
Formation energy from raw total energies = 1186 meV per atom
Space group = P4/mmm, No. 123

a = 4.0659 Å, b = 4.0659 Å, c = 4.7260 Å
α = 90.00°, β = 90.00°, γ = 90.00°
Sites, in units of the cell vectors:
P (0.0000, 0.5000, 0.0000)
P (0.5000, 0.0000, 0.0000)
Te (0.0000, 0.0000, 0.5000)
Cu (0.5000, 0.5000, 0.5000)
C (0.0000, 0.0000, 0.0000)

---

No. 10
VASP calculation (PBE) on LaMg2Si after structural relaxation.

Computed properties:
Formation energy from raw total energies = -142 meV per atom
Space group = I-4m2, No. 119

a = 5.0965 Å, b = 5.0965 Å, c = 5.0965 Å
α = 119.95°, β = 119.88°, γ = 90.14°
Sites, in units of the cell vectors:
La (0.2501, 0.7501, 0.5000)
Mg (0.7498, 0.2498, 0.5000)
Mg (0.9997, 0.9997, 0.0000)
Si (0.5004, 0.5004, 0.0000)

---

Record order is preserved below.
DFT total energy: -6.01; -6.58; -8.73; -4.51; -4.29; -4.52; -8.04; -4.87; -4.27; -3.53 eV/atom